(1)
A geometry-optimized V2PPtBr structure. Source: Alexandria via LeMat-Bulk, functional PBE-GGA.

a = 4.4195 Å, b = 4.4195 Å, c = 4.7843 Å
α = 90.00°, β = 90.00°, γ = 90.00°
Fractional coordinates of all 5 atoms:
V1 0.0000 0.5000 0.0000
V2 0.5000 0.0000 0.0000
P1 0.0000 0.0000 0.5000
Pt1 0.5000 0.5000 0.5000
Br1 0.0000 0.0000 0.0000

The value obtained for the uncorrected formation energy is 1.387 eV/atom.


(2)
A geometry-optimized Pm5DyTl structure. Source: Alexandria via LeMat-Bulk, functional PBE-GGA.

a = 4.8093 Å, b = 4.8093 Å, c = 10.4665 Å
α = 90.00°, β = 90.00°, γ = 90.00°
Fractional coordinates of all 7 atoms:
Pm1 0.0000 0.0000 0.0000
Pm2 0.0000 0.5000 0.2439
Pm3 0.0000 0.5000 0.7561
Pm4 0.5000 0.0000 0.2439
Pm5 0.5000 0.0000 0.7561
Dy1 0.5000 0.5000 0.5000
Tl1 0.5000 0.5000 0.0000

The formation energy is 0.171 eV/atom.


- Which formula does entry 1 have?
  V2PPtBr


What did the first record say?
A geometry-optimized V2PPtBr structure. Source: Alexandria via LeMat-Bulk, functional PBE-GGA.

a = 4.4195 Å, b = 4.4195 Å, c = 4.7843 Å
α = 90.00°, β = 90.00°, γ = 90.00°
Fractional coordinates of all 5 atoms:
V1 0.0000 0.5000 0.0000
V2 0.5000 0.0000 0.0000
P1 0.0000 0.0000 0.5000
Pt1 0.5000 0.5000 0.5000
Br1 0.0000 0.0000 0.0000

The value obtained for the uncorrected formation energy is 1.387 eV/atom.